{"formula": "TlCd2Pb", "functional": "PBE", "state": "relaxed", "lattice": [[3.3604, 0.0000, 0.0000], [0.0000, 5.0179, 0.0000], [0.0000, 0.0000, 6.7613]], "species": ["Tl", "Cd", "Cd", "Pb"], "fractional_positions": [[0.0000, 0.0000, 0.0000], [0.5000, 0.5000, 0.2304], [0.5000, 0.5000, 0.7696], [0.5000, 0.0000, 0.5000]], "ef_ev_per_atom": 0.06, "magnetic_moment_mub_per_fu": 0.0, "e_tot_ev_per_atom": -1.915}